# Ac6Ir3S2Cl PBE optimized geometry
# Symmetry: C2/m (12)
# DOS at the Fermi energy (states/eV per cell): 7.51
# Total magnetization (μB/cell): 0.0
# ΔE_f (raw) (eV per atom): -1.29
# E (Ry/atom): -0.4705
data_Ac6Ir3S2Cl
_symmetry_space_group_name_H-M 'P 1'
_symmetry_Int_Tables_number 1
_cell_length_a 10.021
_cell_length_b 10.021
_cell_length_c 9.072
_cell_angle_alpha 107.10
_cell_angle_beta 107.10
_cell_angle_gamma 24.76
loop_
_symmetry_equiv_pos_as_xyz
'x,y,z'
loop_
_atom_site_label
_atom_site_fract_x
_atom_site_fract_y
_atom_site_fract_z
Ac1 0.005 0.005 0.226
Ac2 0.324 0.324 0.427
Ac3 0.337 0.337 0.907
Ac4 0.663 0.663 0.093
Ac5 0.676 0.676 0.573
Ac6 0.995 0.995 0.774
Ir1 0.165 0.165 0.332
Ir2 0.500 0.500 0.000
Ir3 0.835 0.835 0.668
S1 0.165 0.165 0.828
S2 0.835 0.835 0.172
Cl1 0.500 0.500 0.500